TmMgAl2Ag5: optimized geometry, GGA-PBE.

Cell: 4.759 4.759 8.044 Å, 90.00 90.00 90.00°
Element x y z (fractional)
1 Tm 0.000 0.000 0.000
2 Mg 0.000 0.000 0.500
3 Al 0.500 0.500 0.345
4 Al 0.500 0.500 0.655
5 Ag 0.000 0.500 0.226
6 Ag 0.000 0.500 0.774
7 Ag 0.500 0.000 0.226
8 Ag 0.500 0.000 0.774
9 Ag 0.500 0.500 0.000

Computed properties:
**DOS at the Fermi energy**: 3.08 states/eV/cell
**M_tot**: 0.000 μB per formula unit
**Symmetry**: P4/mmm
**Calculated formation energy**: -56 meV/atom

---

YMgAl2Ag4: optimized geometry, GGA-PBE.

Cell: 8.818 8.818 8.818 Å, 30.10 30.10 30.10°
Element x y z (fractional)
1 Y 0.000 0.000 0.000
2 Mg 0.500 0.500 0.500
3 Al 0.249 0.249 0.249
4 Al 0.751 0.751 0.751
5 Ag 0.129 0.129 0.129
6 Ag 0.393 0.393 0.393
7 Ag 0.607 0.607 0.607
8 Ag 0.871 0.871 0.871

Computed properties:
**DOS at the Fermi energy**: 4.77 states/eV/cell
**M_tot**: 0.000 μB per formula unit
**Symmetry**: R-3m
**Calculated formation energy**: -224 meV/atom

---

Y2MgAl3Ag4: optimized geometry, GGA-PBE.

Cell: 4.271 4.271 11.384 Å, 90.00 90.00 90.00°
Element x y z (fractional)
1 Y 0.000 0.500 0.239
2 Y 0.500 0.000 0.761
3 Mg 0.000 0.000 0.500
4 Al 0.000 0.500 0.868
5 Al 0.500 0.000 0.132
6 Al 0.500 0.500 0.500
7 Ag 0.000 0.000 0.000
8 Ag 0.000 0.500 0.646
9 Ag 0.500 0.000 0.354
10 Ag 0.500 0.500 0.000

Computed properties:
**DOS at the Fermi energy**: 5.17 states/eV/cell
**M_tot**: 0.000 μB per formula unit
**Symmetry**: P-4m2
**Calculated formation energy**: -295 meV/atom

---

MgAlZnAg: optimized geometry, GGA-PBE.

Cell: 5.186 5.186 5.186 Å, 49.98 49.98 49.98°
Element x y z (fractional)
1 Mg 0.000 0.000 0.000
2 Al 0.792 0.792 0.792
3 Zn 0.429 0.429 0.429
4 Ag 0.216 0.216 0.216

Computed properties:
**DOS at the Fermi energy**: 1.13 states/eV/cell
**M_tot**: 0.000 μB per formula unit
**Symmetry**: R3m
**Calculated formation energy**: -11 meV/atom

---

> Look up the calculated formation energy of the fourth one.

-11 meV/atom

---

> Number 2 is which compound?

YMgAl2Ag4

---

> Look up the calculated formation energy of the third one.

-295 meV/atom

---

> DOS at the Fermi energy of number 3 (Y2MgAl3Ag4)?

5.17 states/eV/cell